Material: MgMn2BO
Method: DFT, GGA+U
State: optimized geometry

Its energy above the lowest structure with this stoichiometry is 0 meV per atom. The value obtained for the density of states at the Fermi level is 2.8 states/eV per cell. The magnetic moment comes out at 9.0 Bohr magnetons per cell. For the volume, the calculation gives 79 Å³/cell. As for the uncorrected energy: -26.63 eV for the cell shown.

The space group is P4/mmm (No. 123) and the conventional cell measures 4.233, 4.233 and 4.428 Å, with angles of 90.00, 90.00 and 90.00 degrees. Symmetry generates all atoms from Mg at (0.000, 0.000, 0.000), Mn at (0.000, 0.500, 0.500), B at (0.000, 0.000, 0.500) and O at (0.500, 0.500, 0.000).